CsErBeO3 after structural relaxation, computed with GGA-PBE.

abc: 7.948 3.429 8.187
angles: 90.00 112.85 90.00
Fractional positions:
Cs  0.242  0.250  0.214
Cs  0.758  0.750  0.786
Er  0.157  0.250  0.665
Er  0.843  0.750  0.335
Be  0.394  0.750  0.937
Be  0.606  0.250  0.063
O  0.145  0.750  0.481
O  0.181  0.750  0.857
O  0.457  0.250  0.868
O  0.543  0.750  0.132
O  0.819  0.250  0.143
O  0.855  0.250  0.519

E_form (uncorrected) = -2656.3 meV/atom
Space group = No. 11